Entry 1:
Ni3As, optimized geometry, DFT GGA-PBE; crystal system = hexagonal
1.0
5.122 0.000 0.000
-2.561 4.436 0.000
0.000 0.000 4.092
Ni As
6 2
Cartesian
0.000 1.483 1.023 Ni
-1.277 3.694 1.023 Ni
1.284 0.741 3.069 Ni
1.277 3.694 1.023 Ni
3.838 0.741 3.069 Ni
2.561 2.953 3.069 Ni
0.000 2.957 3.069 As
2.561 1.479 1.023 As

Entry 2:
NpNi5As6, optimized geometry, DFT GGA-PBE; crystal system = monoclinic
1.0
3.134 -5.116 0.000
3.134 5.116 0.000
-2.083 0.000 5.949
Np Ni As
1 5 6
Cartesian
0.000 0.000 0.000 Np
2.093 3.805 2.974 Ni
3.134 1.832 0.000 Ni
2.093 0.000 2.974 Ni
3.134 -1.832 0.000 Ni
2.093 -3.805 2.974 Ni
1.247 1.998 1.662 As
0.332 0.000 4.473 As
1.247 -1.998 1.662 As
2.939 1.998 4.287 As
3.853 0.000 1.476 As
2.939 -1.998 4.287 As

The evaluated ΔH_f (0 K) for the records listed, in turn: -0.13, -0.21 eV per atom.